Entry 1:
# Pu2UAs (PBE, relaxed)
# energy of formation from the pure elements: -0.30 eV per atom
# energy relative to the lowest polymorph listed for this composition: 0 meV/atom
data_Pu2UAs
_chemical_formula_sum 'Pu2 U1 As1'
_cell_length_a 4.258
_cell_length_b 4.377
_cell_length_c 4.377
_cell_angle_alpha 90.00
_cell_angle_beta 90.00
_cell_angle_gamma 90.00
_symmetry_space_group_name_H-M 'P 1'
_symmetry_Int_Tables_number 1
loop_
_symmetry_equiv_pos_as_xyz
'x,y,z'
loop_
_atom_site_label
_atom_site_fract_x
_atom_site_fract_y
_atom_site_fract_z
As1 0.500 0.500 0.500
U1 0.500 0.000 0.000
Pu1 0.000 0.000 0.500
Pu2 0.000 0.500 0.000

Entry 2:
# Zr3CoAs2 (PBE, relaxed)
# energy of formation from the pure elements: -0.91 eV per atom
data_Zr3CoAs2
_chemical_formula_sum 'Zr12 Co4 As8'
_cell_length_a 3.807
_cell_length_b 10.574
_cell_length_c 10.838
_cell_angle_alpha 90.00
_cell_angle_beta 90.00
_cell_angle_gamma 90.00
_symmetry_space_group_name_H-M 'P 1'
_symmetry_Int_Tables_number 1
loop_
_symmetry_equiv_pos_as_xyz
'x,y,z'
loop_
_atom_site_label
_atom_site_fract_x
_atom_site_fract_y
_atom_site_fract_z
Zr1 0.250 0.380 0.049
Zr2 0.750 0.620 0.951
Zr3 0.750 0.880 0.451
Zr4 0.250 0.120 0.549
Zr5 0.250 0.707 0.218
Zr6 0.750 0.293 0.782
Zr7 0.750 0.207 0.282
Zr8 0.250 0.793 0.718
Zr9 0.250 0.439 0.380
Zr10 0.750 0.561 0.620
Zr11 0.750 0.939 0.120
Zr12 0.250 0.061 0.880
Co1 0.250 0.128 0.130
Co2 0.750 0.872 0.870
Co3 0.750 0.628 0.370
Co4 0.250 0.372 0.630
As1 0.250 0.691 0.480
As2 0.750 0.309 0.520
As3 0.750 0.191 0.020
As4 0.250 0.809 0.980
As5 0.250 0.999 0.309
As6 0.750 0.001 0.691
As7 0.750 0.499 0.191
As8 0.250 0.501 0.809

Entry 3:
# MgPbBr2 (PBE, relaxed)
# formation energy without anion corrections: -710 meV per atom
# energy relative to the lowest polymorph listed for this composition: 205 meV/atom
data_MgPbBr2
_chemical_formula_sum 'Mg1 Pb1 Br2'
_cell_length_a 3.620
_cell_length_b 5.826
_cell_length_c 7.403
_cell_angle_alpha 53.49
_cell_angle_beta 90.00
_cell_angle_gamma 90.00
_symmetry_space_group_name_H-M 'P 1'
_symmetry_Int_Tables_number 1
loop_
_symmetry_equiv_pos_as_xyz
'x,y,z'
loop_
_atom_site_label
_atom_site_fract_x
_atom_site_fract_y
_atom_site_fract_z
Br1 0.000 0.027 0.982
Br2 0.500 0.272 0.375
Mg1 0.000 0.586 0.393
Pb1 0.500 0.615 0.750

Entry 4:
Material: K3H7Rh2
Method: DFT, PBE
State: relaxed

Structure (CIF):
```
data_K3H7Rh2
_chemical_formula_sum 'K3 H7 Rh2'
_cell_length_a 3.767
_cell_length_b 3.767
_cell_length_c 10.744
_cell_angle_alpha 100.10
_cell_angle_beta 100.10
_cell_angle_gamma 90.00
_symmetry_space_group_name_H-M 'P 1'
_symmetry_Int_Tables_number 1
loop_
_symmetry_equiv_pos_as_xyz
'x,y,z'
loop_
_atom_site_label
_atom_site_fract_x
_atom_site_fract_y
_atom_site_fract_z
K1 0.319 0.319 0.638
K2 0.681 0.681 0.362
K3 0.500 0.500 0.000
H1 0.000 0.000 0.000
H2 0.909 0.409 0.818
H3 0.409 0.909 0.818
H4 0.091 0.591 0.182
H5 0.591 0.091 0.182
H6 0.171 0.171 0.342
H7 0.829 0.829 0.658
Rh1 0.090 0.090 0.180
Rh2 0.910 0.910 0.820
```

Entry 5:
# AgGe2BSe6 (PBE, relaxed)
# formation energy without anion corrections: -72 meV per atom
data_AgGe2BSe6
_chemical_formula_sum 'Ag2 Ge4 B2 Se12'
_cell_length_a 6.746
_cell_length_b 9.502
_cell_length_c 9.502
_cell_angle_alpha 89.05
_cell_angle_beta 71.68
_cell_angle_gamma 71.68
_symmetry_space_group_name_H-M 'P 1'
_symmetry_Int_Tables_number 1
loop_
_symmetry_equiv_pos_as_xyz
'x,y,z'
loop_
_atom_site_label
_atom_site_fract_x
_atom_site_fract_y
_atom_site_fract_z
Ag1 0.250 0.899 0.101
Ag2 0.750 0.101 0.899
Ge1 0.347 0.787 0.605
Ge2 0.153 0.395 0.213
Ge3 0.653 0.213 0.395
Ge4 0.847 0.605 0.787
B1 0.250 0.197 0.803
B2 0.750 0.803 0.197
Se1 0.184 0.993 0.812
Se2 0.316 0.188 0.007
Se3 0.816 0.007 0.188
Se4 0.684 0.812 0.993
Se5 0.446 0.808 0.334
Se6 0.054 0.666 0.192
Se7 0.554 0.192 0.666
Se8 0.946 0.334 0.808
Se9 0.038 0.717 0.584
Se10 0.462 0.416 0.283
Se11 0.962 0.283 0.416
Se12 0.538 0.584 0.717

Entry 6:
# TiBeFe2Pt (PBE, relaxed)
# energy of formation from the pure elements: 1.11 eV per atom
data_TiBeFe2Pt
_chemical_formula_sum 'Ti1 Be1 Fe2 Pt1'
_cell_length_a 4.153
_cell_length_b 4.153
_cell_length_c 4.328
_cell_angle_alpha 90.00
_cell_angle_beta 90.00
_cell_angle_gamma 90.00
_symmetry_space_group_name_H-M 'P 1'
_symmetry_Int_Tables_number 1
loop_
_symmetry_equiv_pos_as_xyz
'x,y,z'
loop_
_atom_site_label
_atom_site_fract_x
_atom_site_fract_y
_atom_site_fract_z
Be1 0.000 0.000 0.500
Fe1 0.000 0.500 0.000
Fe2 0.500 0.000 0.000
Pt1 0.500 0.500 0.500
Ti1 0.000 0.000 0.000

Entry 7:
# Mg2CrNi (PBE, relaxed)
# energy of formation from the pure elements: 0.26 eV per atom
# energy relative to the lowest polymorph listed for this composition: 78 meV/atom
data_Mg2CrNi
_chemical_formula_sum 'Mg2 Cr1 Ni1'
_cell_length_a 4.738
_cell_length_b 4.738
_cell_length_c 2.997
_cell_angle_alpha 90.00
_cell_angle_beta 90.00
_cell_angle_gamma 104.68
_symmetry_space_group_name_H-M 'P 1'
_symmetry_Int_Tables_number 1
loop_
_symmetry_equiv_pos_as_xyz
'x,y,z'
loop_
_atom_site_label
_atom_site_fract_x
_atom_site_fract_y
_atom_site_fract_z
Cr1 0.000 0.500 0.500
Mg1 0.000 0.000 0.000
Mg2 0.500 0.500 0.000
Ni1 0.500 0.000 0.500

Entry 8:
# LiThMg2 (PBE, relaxed)
# energy of formation from the pure elements: 0.06 eV per atom
# energy relative to the lowest polymorph listed for this composition: 46 meV/atom
data_LiThMg2
_chemical_formula_sum 'Li1 Th1 Mg2'
_cell_length_a 3.290
_cell_length_b 3.290
_cell_length_c 11.232
_cell_angle_alpha 81.58
_cell_angle_beta 81.58
_cell_angle_gamma 60.00
_symmetry_space_group_name_H-M 'P 1'
_symmetry_Int_Tables_number 1
loop_
_symmetry_equiv_pos_as_xyz
'x,y,z'
loop_
_atom_site_label
_atom_site_fract_x
_atom_site_fract_y
_atom_site_fract_z
Mg1 0.744 0.744 0.769
Mg2 0.256 0.256 0.231
Th1 0.500 0.500 0.500
Li1 0.000 0.000 0.000

Entry 9:
# NaAlGeSe4 (PBE, relaxed)
# formation energy without anion corrections: -667 meV per atom
data_NaAlGeSe4
_chemical_formula_sum 'Na2 Al2 Ge2 Se8'
_cell_length_a 7.390
_cell_length_b 7.390
_cell_length_c 7.651
_cell_angle_alpha 90.00
_cell_angle_beta 90.00
_cell_angle_gamma 112.05
_symmetry_space_group_name_H-M 'P 1'
_symmetry_Int_Tables_number 1
loop_
_symmetry_equiv_pos_as_xyz
'x,y,z'
loop_
_atom_site_label
_atom_site_fract_x
_atom_site_fract_y
_atom_site_fract_z
Na1 0.500 0.500 0.500
Na2 0.500 0.500 0.000
Al1 0.870 0.130 0.250
Al2 0.130 0.870 0.750
Ge1 0.133 0.867 0.250
Ge2 0.867 0.133 0.750
Se1 0.215 0.220 0.750
Se2 0.780 0.785 0.750
Se3 0.749 0.251 0.999
Se4 0.749 0.251 0.501
Se5 0.251 0.749 0.001
Se6 0.251 0.749 0.499
Se7 0.785 0.780 0.250
Se8 0.220 0.215 0.250

Entry 10:
# Y4AlRu (PBE, relaxed)
# energy of formation from the pure elements: -0.29 eV per atom
# energy relative to the lowest polymorph listed for this composition: 13 meV/atom
data_Y4AlRu
_chemical_formula_sum 'Y8 Al2 Ru2'
_cell_length_a 5.505
_cell_length_b 6.759
_cell_length_c 9.327
_cell_angle_alpha 90.00
_cell_angle_beta 116.92
_cell_angle_gamma 90.00
_symmetry_space_group_name_H-M 'P 1'
_symmetry_Int_Tables_number 1
loop_
_symmetry_equiv_pos_as_xyz
'x,y,z'
loop_
_atom_site_label
_atom_site_fract_x
_atom_site_fract_y
_atom_site_fract_z
Y1 0.573 0.250 0.430
Y2 0.427 0.750 0.570
Y3 0.656 0.250 0.875
Y4 0.344 0.750 0.125
Y5 0.929 0.007 0.256
Y6 0.071 0.507 0.744
Y7 0.929 0.493 0.256
Y8 0.071 0.993 0.744
Al1 0.304 0.250 0.066
Al2 0.696 0.750 0.934
Ru1 0.192 0.250 0.546
Ru2 0.808 0.750 0.454

Entry 11:
# KLiTl4 (PBE, relaxed)
# energy of formation from the pure elements: -0.01 eV per atom
# energy relative to the lowest polymorph listed for this composition: 65 meV/atom
data_KLiTl4
_chemical_formula_sum 'K1 Li1 Tl4'
_cell_length_a 6.537
_cell_length_b 6.537
_cell_length_c 6.537
_cell_angle_alpha 60.00
_cell_angle_beta 60.00
_cell_angle_gamma 60.00
_symmetry_space_group_name_H-M 'P 1'
_symmetry_Int_Tables_number 1
loop_
_symmetry_equiv_pos_as_xyz
'x,y,z'
loop_
_atom_site_label
_atom_site_fract_x
_atom_site_fract_y
_atom_site_fract_z
K1 0.750 0.750 0.750
Li1 0.000 0.000 0.000
Tl1 0.877 0.374 0.374
Tl2 0.374 0.374 0.877
Tl3 0.374 0.877 0.374
Tl4 0.374 0.374 0.374

Entry 12:
# PmEr2Sn (PBE, relaxed)
# energy of formation from the pure elements: -0.20 eV per atom
# energy relative to the lowest polymorph listed for this composition: 224 meV/atom
data_PmEr2Sn
_chemical_formula_sum 'Pm1 Er2 Sn1'
_cell_length_a 5.408
_cell_length_b 5.408
_cell_length_c 5.408
_cell_angle_alpha 60.00
_cell_angle_beta 60.00
_cell_angle_gamma 60.00
_symmetry_space_group_name_H-M 'P 1'
_symmetry_Int_Tables_number 1
loop_
_symmetry_equiv_pos_as_xyz
'x,y,z'
loop_
_atom_site_label
_atom_site_fract_x
_atom_site_fract_y
_atom_site_fract_z
Pm1 0.000 0.000 0.000
Sn1 0.500 0.500 0.500
Er1 0.250 0.250 0.250
Er2 0.750 0.750 0.750

| no. | electronic total energy (eV per atom) |
| --- | --- |
| 1 | -11.45 |
| 2 | -7.92 |
| 3 | -2.87 |
| 4 | -3.64 |
| 5 | -4.04 |
| 6 | -5.81 |
| 7 | -4.38 |
| 8 | -3.08 |
| 9 | -4.04 |
| 10 | -6.76 |
| 11 | -2.09 |
| 12 | -4.67 |